(1)
This record from Alexandria via LeMat-Bulk describes a relaxed structure of La3CuW. The functional is PBE.

Structure (POSCAR):
```
La3CuW
1.0
5.557 0.000 0.000
0.000 5.557 0.000
0.000 0.000 5.557
Cu W La
1 1 3
direct
0.500 0.500 0.500
0.000 0.000 0.000
0.000 0.500 0.000
0.000 0.000 0.500
0.500 0.000 0.000
```

Summary:
The calculation puts the total DFT energy (no corrections) at -28.816 eV per cell. As for the calculated volume: 171.6 Å³/cell.

(2)
This record from Alexandria via LeMat-Bulk describes a relaxed structure of ScNi3H. The functional is PBE.

Structure (POSCAR):
```
ScNi3H
1.0
-4.950 2.451 -1.037
-3.144 2.616 3.854
-0.920 5.542 0.153
Sc Ni H
2 6 2
direct
0.392 0.392 0.392
0.608 0.608 0.608
0.397 0.923 0.923
0.923 0.923 0.397
0.077 0.603 0.077
0.077 0.077 0.603
0.603 0.077 0.077
0.923 0.397 0.923
0.203 0.203 0.203
0.797 0.797 0.797
```

Summary:
The calculation puts the total DFT energy (no corrections) at -56.219 eV per cell. As for the calculated volume: 111.8 Å³/cell.

(3)
This record from Alexandria via LeMat-Bulk describes a relaxed structure of Pm3HoHg4. The functional is PBE.

Structure (POSCAR):
```
Pm3HoHg4
1.0
3.769 0.000 0.000
0.000 3.769 0.000
0.000 0.000 15.288
Hg Ho Pm
4 1 3
direct
0.000 0.000 0.885
0.000 0.000 0.115
0.000 0.000 0.374
0.000 0.000 0.626
0.500 0.500 0.000
0.500 0.500 0.246
0.500 0.500 0.500
0.500 0.500 0.754
```

Summary:
The calculation puts the total DFT energy (no corrections) at -23.834 eV per cell. As for the calculated volume: 217.2 Å³/cell.